[1]
## Y2V4Zn (PBE)

Data for a relaxed structure of Y2V4Zn.

Cell: 8.147 8.147 8.147 Å, 146.69 146.69 47.82°
Element x y z (fractional)
Y  0.130  0.130  0.000
Y  0.870  0.870  0.000
V  0.000  0.500  0.500
V  0.333  0.333  0.000
V  0.500  0.000  0.500
V  0.667  0.667  0.000
Zn  0.500  0.500  0.000

As for the density of states at the Fermi level: 0.915 states/eV per atom. As for the energy of formation from the pure elements: 1.0285 eV per atom. The value obtained for the total moment is 11.69 μB/f.u.


[2]
## KPmAgCl6 (PBE)

Data for a relaxed structure of KPmAgCl6.

Cell: 6.964 6.964 13.892 Å, 90.00 90.00 120.00°
Element x y z (fractional)
K  0.000  0.000  0.000
K  0.000  0.000  0.500
Pm  0.333  0.667  0.250
Pm  0.667  0.333  0.750
Ag  0.333  0.667  0.750
Ag  0.667  0.333  0.250
Cl  0.009  0.375  0.639
Cl  0.009  0.634  0.861
Cl  0.366  0.375  0.861
Cl  0.366  0.991  0.639
Cl  0.375  0.009  0.139
Cl  0.375  0.366  0.361
Cl  0.625  0.634  0.639
Cl  0.625  0.991  0.861
Cl  0.634  0.009  0.361
Cl  0.634  0.625  0.139
Cl  0.991  0.366  0.139
Cl  0.991  0.625  0.361

As for the density of states at the Fermi level: 0.771 states/eV per atom. The value obtained for the uncorrected formation energy is -1.5367 eV per atom. The value obtained for the total moment is 1.10 μB/f.u.


Number 1: DFT total energy -6.21 eV/atom. Number 2: DFT total energy -3.73 eV/atom.